A relaxed MgSBr crystal. Source: Alexandria, functional GGA-PBE.

Results
Energy relative to the elements, uncorrected, eV/f.u.: -3.2
Volume, A^3/atom: 23.0

abc: 6.685 6.685 7.580
angles: 71.33 71.33 105.92
Atoms (fractional coordinates):
Br 0.482 0.980 0.585
Br 0.069 0.068 0.409
Br 0.980 0.482 0.085
Br 0.068 0.069 0.909
Mg 0.743 0.967 0.784
Mg 0.967 0.743 0.284
Mg 0.530 0.254 0.210
Mg 0.254 0.530 0.710
S 0.859 0.447 0.651
S 0.601 0.513 0.843
S 0.513 0.601 0.343
S 0.447 0.859 0.151